1.
Here is La16Co5Ir3 after structural relaxation from the Alexandria database. Energies are from PBE.

a b c (Å): 8.2220 8.2220 13.1691
angles (deg): 90.12 90.12 60.01
Last column: nearest neighbours and their distance in Å.
Element x y z (fractional)
La: 0.0000 0.0000 0.0000  1 Co 2.72, 2 Ir 2.85
La: 0.9997 0.9997 0.4968  2 Co 2.74, 1 Ir 2.85
La: 0.0196 0.4764 0.0159  2 Co 2.80-2.83, 1 Ir 2.89
La: 0.1587 0.1587 0.2694  3 Co 2.83-2.85
La: 0.1666 0.6602 0.2667  2 Co 2.81, 1 Ir 2.87
La: 0.3214 0.3214 0.7708  1 Co 2.77, 2 Ir 2.85
La: 0.3254 0.8342 0.7669  2 Co 2.83-2.84, 1 Ir 2.88
La: 0.4764 0.0196 0.0159  2 Co 2.80-2.83, 1 Ir 2.89
La: 0.4809 0.4809 0.0152  1 Co 2.85, 2 Ir 2.87
La: 0.5005 0.9666 0.5120  2 Co 2.77-2.84, 1 Ir 2.88
La: 0.5067 0.5067 0.5131  3 Co 2.80-2.82
La: 0.6553 0.6553 0.2738  2 Co 2.78, 1 Ir 2.86
La: 0.6602 0.1666 0.2667  2 Co 2.81, 1 Ir 2.87
La: 0.8255 0.8255 0.7614  1 Co 2.80, 2 Ir 2.88
La: 0.8342 0.3254 0.7669  2 Co 2.83-2.84, 1 Ir 2.88
La: 0.9666 0.5005 0.5120  2 Co 2.77-2.84, 1 Ir 2.88
Co: 0.1612 0.1612 0.8896  6 La 2.72-2.83
Co: 0.3264 0.3264 0.1523  6 La 2.81-2.85
Co: 0.3273 0.8263 0.3874  6 La 2.74-2.83
Co: 0.6585 0.6585 0.6489  6 La 2.80-2.84
Co: 0.8263 0.3273 0.3874  6 La 2.74-2.83
Ir: 0.1585 0.6614 0.8852  6 La 2.85-2.89
Ir: 0.6614 0.1585 0.8852  6 La 2.85-2.89
Ir: 0.8278 0.8278 0.3849  6 La 2.85-2.88

## Properties
Total energy = -147.8 eV per cell
Space group = No. 8
Volume = 771 Å³/cell
N(E_F) = 0.957 states/eV per atom

2.
Here is LaCo2Ir after structural relaxation from the Alexandria database. Energies are from PBE.

a b c (Å): 3.0676 3.0676 7.0806
angles (deg): 90.00 90.00 90.00
Last column: nearest neighbours and their distance in Å.
Element x y z (fractional)
La: 0.0000 0.0000 0.0000  4 La 3.07, 4 Ir 3.08, 5 Co 3.15-3.40
Co: 0.0000 0.0000 0.4798  4 Co 2.44, 4 Ir 2.63
Co: 0.5000 0.5000 0.3235  4 Co 2.44, 1 Ir 2.60
Ir: 0.5000 0.5000 0.6907  5 Co 2.60-2.63

## Properties
Total energy = -27.5 eV per cell
Space group = No. 99
Volume = 67 Å³/cell
N(E_F) = 1.074 states/eV per atom

3.
Here is LaCoIr3 after structural relaxation from the Alexandria database. Energies are from PBE.

a b c (Å): 4.5954 4.5954 4.5954
angles (deg): 90.00 90.00 90.00
Last column: nearest neighbours and their distance in Å.
Element x y z (fractional)
La: 0.0000 0.0000 0.0000  12 Ir 3.25
Co: 0.5000 0.5000 0.5000  6 Ir 2.30
Ir: 0.0000 0.5000 0.5000  2 Co 2.30
Ir: 0.5000 0.0000 0.5000  2 Co 2.30
Ir: 0.5000 0.5000 0.0000  2 Co 2.30

## Properties
Total energy = -36.9 eV per cell
Space group = No. 221
Volume = 97 Å³/cell
N(E_F) = 0.733 states/eV per atom

4.
Here is La4CoIr after structural relaxation from the Alexandria database. Energies are from PBE.

a b c (Å): 6.7499 6.7499 4.2462
angles (deg): 90.00 90.00 91.27
Last column: nearest neighbours and their distance in Å.
Element x y z (fractional)
La: 0.1985 0.8015 0.0000  2 Ir 2.86, 1 Co 2.91
La: 0.3117 0.3117 0.5000  2 Co 2.77, 1 Ir 2.94
La: 0.6883 0.6883 0.5000  2 Co 2.77, 1 Ir 2.94
La: 0.8015 0.1985 0.0000  2 Ir 2.86, 1 Co 2.91
Co: 0.5000 0.5000 0.0000  6 La 2.77-2.91
Ir: 0.0000 0.0000 0.5000  6 La 2.86-2.94

## Properties
Total energy = -37.8 eV per cell
Space group = No. 65
Volume = 193 Å³/cell
N(E_F) = 0.776 states/eV per atom

5.
Here is LaCo2Ir after structural relaxation from the Alexandria database. Energies are from PBE.

a b c (Å): 9.0544 9.0544 9.0544
angles (deg): 18.65 18.65 18.65
Last column: nearest neighbours and their distance in Å.
Element x y z (fractional)
La: 0.0000 0.0000 0.0000  6 La 2.93, 3 Ir 3.12, 3 Co 3.14
Co: 0.4945 0.4945 0.4945  3 Co 2.37, 3 Ir 2.61
Co: 0.7655 0.7655 0.7655  3 Co 2.37
Ir: 0.2353 0.2353 0.2353  3 Co 2.61

## Properties
Total energy = -25.9 eV per cell
Space group = No. 160
Volume = 66 Å³/cell
N(E_F) = 1.443 states/eV per atom

6.
Here is La3CoIr2 after structural relaxation from the Alexandria database. Energies are from PBE.

a b c (Å): 11.5956 4.1578 12.0328
angles (deg): 90.00 90.00 90.00
Last column: nearest neighbours and their distance in Å.
Element x y z (fractional)
La: 0.0536 0.2500 0.1204  1 Co 3.00, 5 Ir 3.08-3.14
La: 0.1235 0.7500 0.5547  3 Co 3.04-3.13, 5 Ir 3.12
La: 0.2072 0.2500 0.8002  2 Co 2.95, 4 Ir 3.01-3.12
La: 0.2928 0.7500 0.3002  2 Co 2.95, 4 Ir 3.01-3.12
La: 0.3765 0.2500 0.0547  3 Co 3.04-3.13, 5 Ir 3.12
La: 0.4464 0.7500 0.6204  1 Co 3.00, 5 Ir 3.08-3.14
La: 0.5536 0.2500 0.3796  1 Co 3.00, 5 Ir 3.08-3.14
La: 0.6235 0.7500 0.9453  3 Co 3.04-3.13, 5 Ir 3.12
La: 0.7072 0.2500 0.6998  2 Co 2.95, 4 Ir 3.01-3.12
La: 0.7928 0.7500 0.1998  2 Co 2.95, 4 Ir 3.01-3.12
La: 0.8765 0.2500 0.4453  3 Co 3.04-3.13, 5 Ir 3.12
La: 0.9464 0.7500 0.8796  1 Co 3.00, 5 Ir 3.08-3.14
Co: 0.1234 0.2500 0.3603  3 Ir 2.44-2.63
Co: 0.3766 0.7500 0.8603  3 Ir 2.44-2.63
Co: 0.6234 0.2500 0.1397  3 Ir 2.44-2.63
Co: 0.8766 0.7500 0.6397  3 Ir 2.44-2.63
Ir: 0.0239 0.7500 0.3139  2 Co 2.44
Ir: 0.1892 0.7500 0.9842  1 Co 2.63
Ir: 0.3108 0.2500 0.4842  1 Co 2.63
Ir: 0.4761 0.2500 0.8139  2 Co 2.44
Ir: 0.5239 0.7500 0.1861  2 Co 2.44
Ir: 0.6892 0.7500 0.5158  1 Co 2.63
Ir: 0.8108 0.2500 0.0158  1 Co 2.63
Ir: 0.9761 0.2500 0.6861  2 Co 2.44

## Properties
Total energy = -170.7 eV per cell
Space group = No. 62
Volume = 580 Å³/cell
N(E_F) = 0.912 states/eV per atom